# 1
Below is ZnCo3 at its PBEsol-relaxed geometry, with properties calculated at the SCAN level.

## Properties
- E_tot (eV per atom) = -16.30
- DFT formation energy (meV/atom) = 53.6

Lattice parameters (Å, degrees): 2.5092 4.2801 4.3211 100.54 106.88 90.00
Element x y z (fractional)
Zn  0.5000  0.0000  0.0000
Co  0.2560  0.2606  0.5121
Co  0.7440  0.7394  0.4879
Co  0.0000  0.5000  0.0000

# 2
Below is Zr2ZnCo at its PBEsol-relaxed geometry, with properties calculated at the SCAN level.

## Properties
- E_tot (eV per atom) = -23.41
- DFT formation energy (meV/atom) = -357.7

Lattice parameters (Å, degrees): 3.2120 3.2144 6.4201 90.07 90.00 90.00
Element x y z (fractional)
Zn  0.5000  0.5000  0.0000
Co  0.5000  0.5000  0.5000
Zr  0.0000  0.9995  0.7352
Zr  0.0000  0.0005  0.2648

# 3
Below is Zr2ZnCo at its PBEsol-relaxed geometry, with properties calculated at the SCAN level.

## Properties
- E_tot (eV per atom) = -23.32
- DFT formation energy (meV/atom) = -269.4

Lattice parameters (Å, degrees): 3.3412 4.0078 5.3144 90.00 108.30 90.00
Element x y z (fractional)
Zn  0.4500  0.5000  0.7750
Co  0.2908  0.0000  0.4566
Zr  0.0257  0.0000  0.9269
Zr  0.7334  0.5000  0.3416

# 4
Below is ZrZn20Co2 at its PBEsol-relaxed geometry, with properties calculated at the SCAN level.

## Properties
- E_tot (eV per atom) = -14.76
- DFT formation energy (meV/atom) = -172.5

Lattice parameters (Å, degrees): 9.6400 9.6400 9.6400 60.00 60.00 60.00
Element x y z (fractional)
Zr  0.0000  0.0000  0.0000
Zr  0.2500  0.2500  0.2500
Zn  0.3299  0.8008  0.8008
Zn  0.8008  0.3299  0.0685
Zn  0.8008  0.0685  0.3299
Zn  0.0685  0.8008  0.8008
Zn  0.3299  0.0685  0.8008
Zn  0.8008  0.8008  0.3299
Zn  0.8008  0.8008  0.0685
Zn  0.0685  0.3299  0.8008
Zn  0.3299  0.8008  0.0685
Zn  0.8008  0.0685  0.8008
Zn  0.8008  0.3299  0.8008
Zn  0.0685  0.8008  0.3299
Zn  0.9201  0.4492  0.4492
Zn  0.4492  0.9201  0.1815
Zn  0.4492  0.1815  0.9201
Zn  0.1815  0.4492  0.4492
Zn  0.9201  0.1815  0.4492
Zn  0.4492  0.4492  0.9201
Zn  0.4492  0.4492  0.1815
Zn  0.1815  0.9201  0.4492
Zn  0.9201  0.4492  0.1815
Zn  0.4492  0.1815  0.4492
Zn  0.4492  0.9201  0.4492
Zn  0.1815  0.4492  0.9201
Zn  0.6366  0.6366  0.3634
Zn  0.3634  0.3634  0.6366
Zn  0.6366  0.3634  0.6366
Zn  0.3634  0.6366  0.3634
Zn  0.6366  0.3634  0.3634
Zn  0.3634  0.6366  0.6366
Zn  0.6134  0.6134  0.8866
Zn  0.8866  0.8866  0.6134
Zn  0.6134  0.8866  0.6134
Zn  0.8866  0.6134  0.8866
Zn  0.6134  0.8866  0.8866
Zn  0.8866  0.6134  0.6134
Zn  0.1250  0.1250  0.1250
Zn  0.1250  0.1250  0.6250
Zn  0.1250  0.6250  0.1250
Zn  0.6250  0.1250  0.1250
Co  0.6250  0.6250  0.6250
Co  0.6250  0.6250  0.1250
Co  0.6250  0.1250  0.6250
Co  0.1250  0.6250  0.6250

# 5
Below is Zr2ZnCo at its PBEsol-relaxed geometry, with properties calculated at the SCAN level.

## Properties
- E_tot (eV per atom) = -22.93
- DFT formation energy (meV/atom) = 119.9

Lattice parameters (Å, degrees): 4.4808 4.4808 4.4808 60.00 60.00 60.00
Element x y z (fractional)
Co  0.5000  0.5000  0.5000
Zn  0.2500  0.2500  0.2500
Zr  0.0000  0.0000  0.0000
Zr  0.7500  0.7500  0.7500

# 6
Below is ZrCo at its PBEsol-relaxed geometry, with properties calculated at the SCAN level.

## Properties
- E_tot (eV per atom) = -23.70
- DFT formation energy (meV/atom) = 303.3

Lattice parameters (Å, degrees): 3.3096 3.3096 7.3098 90.00 90.00 120.00
Element x y z (fractional)
Co  0.6667  0.3333  0.0921
Co  0.3333  0.6667  0.9079
Zr  0.6667  0.3333  0.6934
Zr  0.3333  0.6667  0.3066

# 7
Below is Zr3Co at its PBEsol-relaxed geometry, with properties calculated at the SCAN level.

## Properties
- E_tot (eV per atom) = -27.52
- DFT formation energy (meV/atom) = -173.7

Lattice parameters (Å, degrees): 3.2143 5.5012 8.9255 90.00 90.00 106.99
Element x y z (fractional)
Co  0.7223  0.4446  0.2500
Co  0.2777  0.5554  0.7500
Zr  0.4160  0.8319  0.2500
Zr  0.5840  0.1681  0.7500
Zr  0.1345  0.2691  0.0544
Zr  0.8655  0.7309  0.9456
Zr  0.8655  0.7309  0.5544
Zr  0.1345  0.2691  0.4456

# 8
Below is ZrCo13 at its PBEsol-relaxed geometry, with properties calculated at the SCAN level.

## Properties
- E_tot (eV per atom) = -18.21
- DFT formation energy (meV/atom) = 49.6

Lattice parameters (Å, degrees): 7.7124 7.7124 7.7124 60.00 60.00 60.00
Element x y z (fractional)
Co  0.4419  0.2016  0.7984
Co  0.2016  0.4419  0.5581
Co  0.7984  0.5581  0.4419
Co  0.5581  0.7984  0.2016
Co  0.5581  0.2016  0.4419
Co  0.7984  0.4419  0.2016
Co  0.2016  0.5581  0.7984
Co  0.4419  0.7984  0.5581
Co  0.7984  0.2016  0.5581
Co  0.5581  0.4419  0.7984
Co  0.4419  0.5581  0.2016
Co  0.2016  0.7984  0.4419
Co  0.2984  0.0581  0.7016
Co  0.0581  0.2984  0.9419
Co  0.9419  0.7016  0.0581
Co  0.7016  0.9419  0.2984
Co  0.2984  0.9419  0.0581
Co  0.0581  0.7016  0.2984
Co  0.9419  0.2984  0.7016
Co  0.7016  0.0581  0.9419
Co  0.2984  0.7016  0.9419
Co  0.0581  0.9419  0.7016
Co  0.9419  0.0581  0.2984
Co  0.7016  0.2984  0.0581
Co  0.5000  0.5000  0.5000
Co  0.0000  0.0000  0.0000
Zr  0.7500  0.7500  0.7500
Zr  0.2500  0.2500  0.2500

# 9
Below is ZrCo5 at its PBEsol-relaxed geometry, with properties calculated at the SCAN level.

## Properties
- E_tot (eV per atom) = -19.63
- DFT formation energy (meV/atom) = -93.6

Lattice parameters (Å, degrees): 3.9632 4.7545 4.7545 120.00 90.00 90.00
Element x y z (fractional)
Co  0.5000  0.0000  0.5000
Co  0.0000  0.6667  0.3333
Co  0.5000  0.5000  0.5000
Co  0.5000  0.5000  0.0000
Co  0.0000  0.3333  0.6667
Zr  0.0000  0.0000  0.0000

# 10
Below is Zr3Co at its PBEsol-relaxed geometry, with properties calculated at the SCAN level.

## Properties
- E_tot (eV per atom) = -27.46
- DFT formation energy (meV/atom) = -109.7

Lattice parameters (Å, degrees): 3.1638 5.1691 5.5598 117.70 106.53 90.00
Element x y z (fractional)
Co  0.0000  0.9713  0.0000
Zr  0.3013  0.9371  0.6025
Zr  0.5000  0.5904  0.0000
Zr  0.6987  0.3346  0.3975

# 11
Below is ZrCo at its PBEsol-relaxed geometry, with properties calculated at the SCAN level.

## Properties
- E_tot (eV per atom) = -24.38
- DFT formation energy (meV/atom) = -382.0

Lattice parameters (Å, degrees): 3.1289 3.1289 3.1289 90.00 90.00 90.00
Element x y z (fractional)
Co  0.0000  0.0000  0.0000
Zr  0.5000  0.5000  0.5000

# 12
Below is Zr2Co3 at its PBEsol-relaxed geometry, with properties calculated at the SCAN level.

## Properties
- E_tot (eV per atom) = -22.82
- DFT formation energy (meV/atom) = -160.0

Lattice parameters (Å, degrees): 4.9766 4.9766 7.1572 99.84 99.84 120.56
Element x y z (fractional)
Co  0.4098  0.5520  0.2474
Co  0.3046  0.1624  0.7526
Co  0.4124  0.0546  0.2526
Co  0.8020  0.1598  0.7474
Co  0.0622  0.0622  0.0000
Co  0.3122  0.8122  0.5000
Zr  0.8269  0.4929  0.0964
Zr  0.3965  0.7305  0.9036
Zr  0.9805  0.1465  0.4036
Zr  0.7429  0.5769  0.5964

# 13
Below is Zr3Co at its PBEsol-relaxed geometry, with properties calculated at the SCAN level.

## Properties
- E_tot (eV per atom) = -27.51
- DFT formation energy (meV/atom) = -160.3

Lattice parameters (Å, degrees): 3.1961 3.1961 7.2535 90.00 90.00 90.00
Element x y z (fractional)
Co  0.0000  0.0000  0.0000
Zr  0.0000  0.0000  0.5000
Zr  0.5000  0.5000  0.2094
Zr  0.5000  0.5000  0.7906

# 14
Below is Zr3Co at its PBEsol-relaxed geometry, with properties calculated at the SCAN level.

## Properties
- E_tot (eV per atom) = -27.51
- DFT formation energy (meV/atom) = -159.4

Lattice parameters (Å, degrees): 5.6244 6.0725 8.9901 90.00 90.00 90.00
Element x y z (fractional)
Co  0.5877  0.1112  0.7500
Co  0.0877  0.3888  0.2500
Co  0.9123  0.6112  0.7500
Co  0.4123  0.8888  0.2500
Zr  0.8430  0.0386  0.2500
Zr  0.3432  0.1902  0.0606
Zr  0.3432  0.1902  0.4394
Zr  0.8432  0.3098  0.5606
Zr  0.8432  0.3098  0.9394
Zr  0.3430  0.4614  0.7500
Zr  0.6570  0.5386  0.2500
Zr  0.1568  0.6902  0.0606
Zr  0.1568  0.6902  0.4394
Zr  0.6568  0.8098  0.5606
Zr  0.6568  0.8098  0.9394
Zr  0.1570  0.9614  0.7500

# 15
Below is Cs2Cr4CuH4O16 at its PBEsol-relaxed geometry, with properties calculated at the SCAN level.

## Properties
- E_tot (eV per atom) = -11.97

Lattice parameters (Å, degrees): 8.1887 7.4693 8.0161 92.87 125.27 90.28
Element x y z (fractional)
Cs  0.7924  0.8067  0.2670
Cs  0.2076  0.1933  0.7330
Cr  0.7390  0.8702  0.7671
Cr  0.2610  0.1298  0.2329
Cr  0.3273  0.6658  0.5704
Cr  0.6727  0.3342  0.4296
O  0.7827  0.3793  0.9844
O  0.3007  0.9666  0.1207
O  0.1506  0.5805  0.3456
O  0.8494  0.4195  0.6544
O  0.8673  0.9376  0.6882
O  0.1463  0.2856  0.0667
O  0.4894  0.2231  0.4436
O  0.5638  0.4895  0.2674
O  0.4362  0.5105  0.7326
O  0.1327  0.0624  0.3118
O  0.6993  0.0334  0.8793
O  0.5106  0.7769  0.5564
O  0.8537  0.7144  0.9333
O  0.2173  0.6207  0.0156
O  0.2350  0.8074  0.6493
O  0.7650  0.1926  0.3507
Cu  0.0000  0.5000  0.0000
H  0.2342  0.7541  0.0526
H  0.6496  0.4326  0.8810
H  0.7658  0.2459  0.9474
H  0.3504  0.5674  0.1190

# 16
Below is Cs2HfCrCu at its PBEsol-relaxed geometry, with properties calculated at the SCAN level.

## Properties
- E_tot (eV per atom) = -32.77
- DFT formation energy (meV/atom) = 1602.6

Lattice parameters (Å, degrees): 4.6852 6.7207 6.7207 90.00 90.00 90.00
Element x y z (fractional)
Cs  0.0000  0.0000  0.5000
Cs  0.0000  0.5000  0.0000
Cr  0.0000  0.0000  0.0000
Hf  0.5000  0.5000  0.5000
Cu  0.5000  0.0000  0.0000

# 17
Below is Cs2CrCuI at its PBEsol-relaxed geometry, with properties calculated at the SCAN level.

## Properties
- E_tot (eV per atom) = -28.88

Lattice parameters (Å, degrees): 5.1167 7.1702 7.1702 90.00 90.00 90.00
Element x y z (fractional)
Cs  0.0000  0.0000  0.5000
Cs  0.0000  0.5000  0.0000
I  0.0000  0.0000  0.0000
Cu  0.5000  0.0000  0.0000
Cr  0.5000  0.5000  0.5000

# 18
Below is CsLiCr2Cu at its PBEsol-relaxed geometry, with properties calculated at the SCAN level.

## Properties
- E_tot (eV per atom) = -17.12
- DFT formation energy (meV/atom) = 1318.5

Lattice parameters (Å, degrees): 4.8800 4.8800 5.6571 90.00 90.00 90.00
Element x y z (fractional)
Cs  0.0000  0.0000  0.5000
Cr  0.0000  0.5000  0.0000
Cr  0.5000  0.0000  0.0000
Cu  0.5000  0.5000  0.5000
Li  0.0000  0.0000  0.0000

# 19
Below is Cs2CrF6 at its PBEsol-relaxed geometry, with properties calculated at the SCAN level.

## Properties
- E_tot (eV per atom) = -15.79

Lattice parameters (Å, degrees): 6.2632 6.2632 6.2632 60.00 60.00 60.00
Element x y z (fractional)
Cs  0.7500  0.7500  0.7500
Cs  0.2500  0.2500  0.2500
Cr  0.0000  0.0000  0.0000
F  0.2069  0.7931  0.2069
F  0.7931  0.7931  0.2069
F  0.2069  0.2069  0.7931
F  0.7931  0.2069  0.7931
F  0.2069  0.7931  0.7931
F  0.7931  0.2069  0.2069

# 20
Below is CsCrI2F at its PBEsol-relaxed geometry, with properties calculated at the SCAN level.

## Properties
- E_tot (eV per atom) = -27.10

Lattice parameters (Å, degrees): 5.0690 5.7327 5.7327 90.00 90.00 90.00
Element x y z (fractional)
Cs  0.5000  0.0000  0.0000
I  0.0000  0.0000  0.5000
I  0.0000  0.5000  0.0000
F  0.0000  0.0000  0.0000
Cr  0.5000  0.5000  0.5000